Record 1
Here is an optimized crystal structure of Ag2Pb2I from the Alexandria database. Energies are from PBE.

Values from the calculation:
Volume: 144 Å³ per cell
Calculated total energy: -2.858 eV per atom
Symmetry: I4/mmm, No. 139
Offset from the most stable computed form: 0.0000 eV per atom
N(E_F): 3.737 states/eV per cell
Formation energy (no corrections): 0.0759 eV per atom

Cell: 4.054 4.054 9.200 Å, 77.27 77.27 90.00°
Sites, in units of the cell vectors:
Ag: 0.250 0.750 0.500
Ag: 0.750 0.250 0.500
I: 0.000 0.000 0.000
Pb: 0.620 0.620 0.761
Pb: 0.380 0.380 0.239

Record 2
Here is an optimized crystal structure of OsICl2 from the Alexandria database. Energies are from PBE.

Values from the calculation:
Volume: 236 Å³ per cell
Calculated total energy: -3.527 eV per atom
Symmetry: I-42d, No. 122
Offset from the most stable computed form: 0.3645 eV per atom
N(E_F): 15.066 states/eV per cell
Formation energy (no corrections): 0.5916 eV per atom

Cell: 7.135 7.135 6.852 Å, 58.63 58.63 90.00°
Sites, in units of the cell vectors:
I: 0.250 0.750 0.500
I: 0.500 0.500 0.000
Os: 0.750 0.250 0.500
Os: 0.000 0.000 0.000
Cl: 0.875 0.021 0.750
Cl: 0.771 0.125 0.250
Cl: 0.979 0.625 0.250
Cl: 0.375 0.229 0.750

Record 3
Here is an optimized crystal structure of Ni3RhW from the Alexandria database. Energies are from PBE.

Values from the calculation:
Volume: 86 Å³ per cell
Calculated total energy: -5.977 eV per atom
Symmetry: Pm-3m, No. 221
Offset from the most stable computed form: 1.6607 eV per atom
N(E_F): 6.516 states/eV per cell
Formation energy from the elements: 1.55 eV/atom

Cell: 4.419 4.419 4.419 Å, 90.00 90.00 90.00°
Sites, in units of the cell vectors:
Rh: 0.500 0.500 0.500
W: 0.000 0.000 0.000
Ni: 0.000 0.000 0.500
Ni: 0.000 0.500 0.000
Ni: 0.500 0.000 0.000

Record 4
Here is an optimized crystal structure of LiBi2HPb from the Alexandria database. Energies are from PBE.

Values from the calculation:
Volume: 119 Å³ per cell
Calculated total energy: -3.271 eV per atom
Symmetry: P4/mmm, No. 123
N(E_F): 1.740 states/eV per cell

Cell: 5.006 5.006 4.744 Å, 90.00 90.00 90.00°
Sites, in units of the cell vectors:
Pb: 0.500 0.500 0.500
Bi: 0.500 0.000 0.000
Bi: 0.000 0.500 0.000
H: 0.000 0.000 0.000
Li: 0.000 0.000 0.500

Record 5
Here is an optimized crystal structure of KTl4Hg2Pb from the Alexandria database. Energies are from PBE.

Values from the calculation:
Volume: 278 Å³ per cell
Calculated total energy: -1.913 eV per atom
Symmetry: P4/mmm, No. 123
N(E_F): 3.665 states/eV per cell
Formation energy from the elements: -0.05 eV/atom

Cell: 5.279 5.279 9.985 Å, 90.00 90.00 90.00°
Sites, in units of the cell vectors:
Tl: 0.500 0.000 0.812
Tl: 0.000 0.500 0.188
Tl: 0.000 0.500 0.812
Tl: 0.500 0.000 0.188
Hg: 0.500 0.500 0.644
Hg: 0.500 0.500 0.356
K: 0.000 0.000 0.500
Pb: 0.000 0.000 0.000

Record 6
Here is an optimized crystal structure of SrTl2Cl from the Alexandria database. Energies are from PBE.

Values from the calculation:
Volume: 130 Å³ per cell
Calculated total energy: -2.398 eV per atom
Symmetry: Fm-3m, No. 225
Offset from the most stable computed form: 0.5083 eV per atom
N(E_F): 5.058 states/eV per cell
Formation energy (no corrections): -0.3329 eV per atom

Cell: 5.689 5.689 5.689 Å, 60.00 60.00 60.00°
Sites, in units of the cell vectors:
Tl: 0.250 0.250 0.250
Tl: 0.750 0.750 0.750
Sr: 0.500 0.500 0.500
Cl: 0.000 0.000 0.000